(1)
La2Zn12Ir5 (PBE, relaxed); M_tot = 0.0 μB per formula unit; Fermi-level density of states = 12.59 states/eV/cell; energy of formation = -0.305 eV per atom
1.0
6.843 0.097 0.681
0.626 6.815 0.681
0.105 0.097 6.876
Zn Ir La
12 5 2
Direct
0.653 0.153 0.653 Zn
0.653 0.653 0.153 Zn
0.287 0.713 0.000 Zn
0.847 0.347 0.347 Zn
0.347 0.347 0.847 Zn
0.000 0.713 0.287 Zn
0.713 0.287 0.000 Zn
0.000 0.287 0.713 Zn
0.713 0.000 0.287 Zn
0.347 0.847 0.347 Zn
0.153 0.653 0.653 Zn
0.287 0.000 0.713 Zn
0.500 0.000 0.000 Ir
0.000 0.500 0.000 Ir
0.102 0.102 0.102 Ir
0.898 0.898 0.898 Ir
0.000 0.000 0.500 Ir
0.675 0.675 0.675 La
0.325 0.325 0.325 La

***

(2)
LaZn4Ir2 (PBE, relaxed); M_tot = 0.0 μB per formula unit; Fermi-level density of states = 4.89 states/eV/cell; energy of formation = -0.423 eV per atom
1.0
4.094 0.000 0.000
0.000 7.797 0.000
0.000 0.000 7.797
Ir Zn La
4 8 2
Direct
0.000 0.213 0.787 Ir
0.000 0.787 0.213 Ir
0.500 0.713 0.713 Ir
0.500 0.287 0.287 Ir
0.500 0.591 0.153 Zn
0.500 0.847 0.409 Zn
0.000 0.347 0.091 Zn
0.000 0.091 0.347 Zn
0.500 0.153 0.591 Zn
0.000 0.909 0.653 Zn
0.000 0.653 0.909 Zn
0.500 0.409 0.847 Zn
0.000 0.500 0.500 La
0.500 0.000 0.000 La

***

(3)
La3ZnIr2 (PBE, relaxed); M_tot = 0.0 μB per formula unit; Fermi-level density of states = 17.46 states/eV/cell; energy of formation = -0.616 eV per atom
1.0
4.143 0.000 0.000
0.000 12.109 0.000
0.000 0.000 12.260
Ir Zn La
8 4 12
Direct
0.750 0.511 0.182 Ir
0.750 0.312 0.513 Ir
0.250 0.489 0.818 Ir
0.250 0.011 0.318 Ir
0.250 0.812 0.987 Ir
0.750 0.188 0.013 Ir
0.750 0.989 0.682 Ir
0.250 0.688 0.487 Ir
0.250 0.120 0.125 Zn
0.750 0.880 0.875 Zn
0.750 0.620 0.375 Zn
0.250 0.380 0.625 Zn
0.250 0.423 0.375 La
0.250 0.827 0.696 La
0.250 0.673 0.196 La
0.250 0.126 0.561 La
0.250 0.077 0.875 La
0.750 0.327 0.804 La
0.750 0.626 0.939 La
0.750 0.874 0.439 La
0.750 0.923 0.125 La
0.250 0.374 0.061 La
0.750 0.173 0.304 La
0.750 0.577 0.625 La

***

(4)
La2Zn2Ir3 (PBE, relaxed); M_tot = 0.0 μB per formula unit; Fermi-level density of states = 4.41 states/eV/cell; energy of formation = -0.469 eV per atom
1.0
4.453 0.000 0.000
-2.227 5.380 -0.466
0.000 -3.376 6.273
Ir La Zn
3 2 2
Direct
0.500 0.000 0.000 Ir
0.414 0.827 0.567 Ir
0.586 0.173 0.433 Ir
0.821 0.642 0.241 La
0.179 0.358 0.759 La
0.882 0.765 0.754 Zn
0.118 0.235 0.246 Zn

***

(5)
La3Zn4Ir4 (PBE, relaxed); offset from the most stable computed form = 204 meV per atom; M_tot = 0.0 μB per formula unit; Fermi-level density of states = 12.14 states/eV/cell; energy of formation = -0.333 eV per atom
1.0
6.687 0.000 0.000
-2.229 6.304 0.000
-2.229 -3.152 5.460
Ir Zn La
4 4 3
Direct
0.000 0.603 0.000 Ir
0.397 0.397 0.397 Ir
0.603 0.000 0.000 Ir
0.000 0.000 0.603 Ir
0.759 0.759 0.759 Zn
0.000 0.241 0.000 Zn
0.000 0.000 0.241 Zn
0.241 0.000 0.000 Zn
0.500 0.500 0.000 La
0.000 0.500 0.500 La
0.500 0.000 0.500 La

***

(6)
LaZn2Ir2 (PBE, relaxed); offset from the most stable computed form = 170 meV per atom; M_tot = 0.0 μB per formula unit; Fermi-level density of states = 2.88 states/eV/cell; energy of formation = -0.339 eV per atom
1.0
7.601 0.000 0.000
0.000 7.601 0.000
0.000 0.000 3.029
Ir Zn La
4 4 2
Direct
0.662 0.162 0.000 Ir
0.838 0.662 0.000 Ir
0.338 0.838 0.000 Ir
0.162 0.338 0.000 Ir
0.631 0.869 0.500 Zn
0.869 0.369 0.500 Zn
0.131 0.631 0.500 Zn
0.369 0.131 0.500 Zn
0.500 0.500 0.000 La
0.000 0.000 0.000 La